Here is BaHCl after structural relaxation from Alexandria via LeMat-Bulk. Energies are from PBEsol.

Computed properties:
The calculation puts the total energy at -24.44 eV/cell. As for the crystal system: tetragonal. The value obtained for the density is 4.30 g cm⁻³.

POSCAR file:
```
BaHCl
1.0
4.3501 0.0000 0.0000
0.0000 4.3501 0.0000
0.0000 0.0000 7.0991
Ba H Cl
2 2 2
Direct
0.2500 0.2500 0.2083
0.7500 0.7500 0.7917
0.2500 0.7500 0.0000
0.7500 0.2500 0.0000
0.2500 0.2500 0.6564
0.7500 0.7500 0.3436
```